[1]
Sb2AuSe | Alexandria via LeMat-Bulk | PBE | relaxed; SG = P2/m, No. 10; total DFT energy (no corrections) = -3.775 eV per atom; size of the total moment = 0.00 μB per cell; formation energy from raw total energies = -0.024 eV/atom
1.0
3.975 0.000 0.000
0.000 3.008 -0.029
0.000 -2.996 8.516
Se Sb Au
1 2 1
Cartesian
1.988 0.003 2.122
0.000 0.017 4.381
0.000 -0.001 8.349
1.988 0.008 6.365

[2]
SbPSCl2 | Alexandria via LeMat-Bulk | PBE | relaxed; SG = P4/mmm, No. 123; total DFT energy (no corrections) = -3.232 eV per atom; size of the total moment = 0.00 μB per cell; ΔE to the lowest computed polymorph = 0 meV/atom; formation energy from raw total energies = 0.238 eV/atom
1.0
4.708 0.000 0.000
0.000 4.708 0.000
0.000 0.000 4.931
S Sb Cl P
1 1 2 1
Cartesian
0.000 0.000 2.465
2.354 2.354 2.465
2.354 0.000 0.000
0.000 2.354 0.000
0.000 0.000 0.000

[3]
TbYTmSc | Alexandria via LeMat-Bulk | PBE | relaxed; SG = F-43m, No. 216; total DFT energy (no corrections) = -5.356 eV per atom; size of the total moment = 0.00 μB per cell; ΔE to the lowest computed polymorph = 71 meV/atom; calculated formation energy = 118 meV per atom
1.0
-5.357 -1.065 0.851
-1.995 -5.068 -0.945
-1.543 -3.198 4.237
Y Tb Sc Tm
1 1 1 1
Cartesian
-6.672 -6.998 3.107
-2.224 -2.333 1.036
0.000 0.000 0.000
-4.448 -4.665 2.071

[4]
BaGaTeRh2 | Alexandria via LeMat-Bulk | PBE | relaxed; SG = P4/mmm, No. 123; total DFT energy (no corrections) = -4.172 eV per atom; size of the total moment = 0.00 μB per cell; formation energy from raw total energies = 0.387 eV/atom
1.0
4.951 0.000 0.000
0.000 6.357 0.000
0.000 0.000 4.951
Ba Rh Ga Te
1 2 1 1
Cartesian
0.000 3.178 0.000
2.476 0.000 0.000
0.000 0.000 2.476
2.476 3.178 2.476
0.000 0.000 0.000

[5]
UCuPd | Alexandria via LeMat-Bulk | PBE | relaxed; SG = I4mm, No. 107; total DFT energy (no corrections) = -6.881 eV per atom; size of the total moment = 2.53 μB per cell; ΔE to the lowest computed polymorph = 0 meV/atom; calculated formation energy = -22 meV per atom
1.0
-0.057 2.550 -1.902
-2.438 1.187 1.664
4.620 0.586 3.309
Pd Cu U
1 1 1
Cartesian
-0.013 2.767 1.049
2.138 1.556 2.023
2.123 4.323 3.070

[6]
Y6Ag5Pb | Alexandria via LeMat-Bulk | PBE | relaxed; SG = Immm, No. 71; total DFT energy (no corrections) = -5.088 eV per atom; size of the total moment = 0.00 μB per cell; calculated formation energy = -359 meV per atom
1.0
4.984 0.020 -1.454
-1.014 6.485 -3.377
-0.075 0.483 9.016
Y Ag Pb
6 5 1
Cartesian
4.002 0.888 4.459
0.391 2.923 1.381
3.505 4.065 2.805
1.741 4.813 -3.228
-0.107 6.100 -0.273
2.230 1.692 -1.603
2.620 4.494 -0.221
1.275 2.494 4.407
-0.507 3.242 -1.688
3.134 1.265 1.492
0.762 5.723 2.694
0.000 0.000 0.000